[1]
SrWS2: PBEsol geometry, meta-GGA SCAN.

Unit cell a=5.619 b=5.619 c=7.470 alpha=112.10 beta=112.10 gamma=90.00
Positions (direct):
1 W 0.000 0.000 0.000
2 W 0.250 0.750 0.500
3 Sr 0.750 0.250 0.500
4 Sr 0.500 0.500 0.000
5 S 0.973 0.375 0.250
6 S 0.277 0.875 0.250
7 S 0.125 0.027 0.750
8 S 0.625 0.723 0.750

Calculated values
DOS at the Fermi energy = 4.786 states/eV per cell
formation energy without anion corrections = -0.627 eV/atom
uncorrected energy = -28.4320 eV/atom

=====

[2]
HfScN2: PBEsol geometry, meta-GGA SCAN.

Unit cell a=3.905 b=3.905 c=3.905 alpha=60.00 beta=60.00 gamma=60.00
Positions (direct):
1 N 0.750 0.750 0.750
2 N 0.250 0.250 0.250
3 Hf 0.500 0.500 0.500
4 Sc 0.000 0.000 0.000

Calculated values
DOS at the Fermi energy = 1.779 states/eV per cell
formation energy without anion corrections = -1.025 eV/atom
uncorrected energy = -24.8986 eV/atom

=====

Volume (Å³ per atom)
24.968; 10.528